Run 1
A relaxed NiRh2 crystal. Source: the Alexandria database, functional GGA-PBEsol.

Structure (POSCAR):
```
NiRh2
1.0
-1.405 1.953 1.085
-1.937 -2.941 2.787
4.661 0.997 4.241
Ni Rh
2 4
direct
0.250 0.420 0.340
0.750 0.580 0.660
0.250 0.746 0.994
0.750 0.915 0.335
0.250 0.085 0.665
0.750 0.254 0.006
```

***

Run 2
A relaxed NiRh2 crystal. Source: the Alexandria database, functional GGA-PBEsol.

Structure (POSCAR):
```
NiRh2
1.0
2.642 0.000 0.000
0.000 3.636 0.000
0.000 0.000 7.847
Ni Rh
2 4
direct
0.000 0.000 0.662
0.000 0.000 0.338
0.500 0.500 0.500
0.500 0.500 0.173
0.000 0.000 0.000
0.500 0.500 0.827
```

***

Short version: run 2 is the most stable of them.

***

Run 1
A relaxed Li2CrOs crystal. Source: the Alexandria database, functional GGA-PBEsol.

Structure (POSCAR):
```
Li2CrOs
1.0
-2.979 0.506 1.113
-0.284 -3.138 0.667
1.773 0.773 4.392
Cr Li Os
1 2 1
direct
0.500 0.500 0.500
0.000 0.000 0.763
0.000 0.000 0.237
0.500 0.500 0.000
```

***

Run 2
A relaxed Li2CrOs crystal. Source: the Alexandria database, functional GGA-PBEsol.

Structure (POSCAR):
```
Li2CrOs
1.0
2.506 0.002 0.000
-1.050 2.275 0.000
0.000 0.000 9.273
Cr Li Os
1 2 1
direct
0.500 0.500 0.000
0.000 0.000 0.255
0.000 0.000 0.745
0.500 0.500 0.500
```

***

Short version: run 2 is the most stable of them.

***

Run 1
A relaxed CoBrCl crystal. Source: the Alexandria database, functional GGA-PBEsol.

Structure (POSCAR):
```
CoBrCl
1.0
-1.942 2.084 -3.551
-3.279 -2.101 -2.358
-4.303 1.458 0.291
Co Br Cl
1 1 1
direct
0.000 0.000 0.000
0.500 0.500 0.500
0.250 0.250 0.250
```

***

Run 2
A relaxed CoBrCl crystal. Source: the Alexandria database, functional GGA-PBEsol.

Structure (POSCAR):
```
CoBrCl
1.0
4.355 0.000 0.000
2.177 3.771 0.000
2.177 1.257 3.556
Co Br Cl
1 1 1
direct
0.250 0.250 0.250
0.000 0.000 0.000
0.500 0.500 0.500
```

***

Short version: run 2 is the most stable of them.

***

Run 1
A relaxed CaTlCd2 crystal. Source: the Alexandria database, functional GGA-PBEsol.

Structure (POSCAR):
```
CaTlCd2
1.0
4.711 0.000 0.000
0.000 4.538 0.267
0.000 -0.265 4.539
Tl Ca Cd
1 1 2
direct
0.500 0.000 0.000
0.500 0.500 0.500
0.000 0.500 0.000
0.000 0.000 0.500
```

***

Run 2
A relaxed CaTlCd2 crystal. Source: the Alexandria database, functional GGA-PBEsol.

Structure (POSCAR):
```
CaTlCd2
1.0
-4.603 0.532 -0.222
0.058 -1.348 -4.439
1.709 -3.920 3.637
Tl Ca Cd
1 1 2
direct
0.500 0.500 0.000
0.000 0.000 0.000
0.750 0.250 0.500
0.250 0.750 0.500
```

***

Short version: run 1 is the most stable of them.

***

Run 1
A relaxed NbSnSb3 crystal. Source: the Alexandria database, functional GGA-PBEsol.

Structure (POSCAR):
```
NbSnSb3
1.0
-1.240 -0.861 -5.213
1.630 -5.156 0.464
-5.026 -1.460 1.436
Sb Nb Sn
3 1 1
direct
0.000 0.500 0.000
0.000 0.000 0.500
0.500 0.000 0.000
0.500 0.500 0.500
0.000 0.000 0.000
```

***

Run 2
A relaxed NbSnSb3 crystal. Source: the Alexandria database, functional GGA-PBEsol.

Structure (POSCAR):
```
NbSnSb3
1.0
5.313 0.000 0.000
0.000 5.313 0.000
0.000 0.000 5.313
Sb Nb Sn
3 1 1
direct
0.000 0.500 0.000
0.000 0.000 0.500
0.500 0.000 0.000
0.000 0.000 0.000
0.500 0.500 0.500
```

***

Short version: run 2 is the most stable of them.

***

Run 1
A relaxed ZrInCl2 crystal. Source: the Alexandria database, functional GGA-PBEsol.

Structure (POSCAR):
```
ZrInCl2
1.0
3.229 0.007 0.000
-0.280 5.498 0.000
-1.474 -2.752 4.631
Cl Zr In
2 1 1
direct
0.000 0.000 0.500
0.500 0.500 0.500
0.500 0.500 0.000
0.000 0.000 0.000
```

***

Run 2
A relaxed ZrInCl2 crystal. Source: the Alexandria database, functional GGA-PBEsol.

Structure (POSCAR):
```
ZrInCl2
1.0
-0.331 -2.657 2.315
3.516 -0.090 0.400
-0.462 4.463 5.057
Cl Zr In
2 1 1
direct
0.000 0.000 0.949
0.500 0.500 0.207
0.500 0.500 0.835
0.000 0.000 0.510
```

***

Short version: run 2 is the most stable of them.